Model i:
3
Lattice="4.364 0.000 0.000 -2.182 3.780 0.000 0.000 0.000 3.717" Properties=species:S:1:pos:R:3 comment="YOsPt (PBE, relaxed)" spacegroup="No. 187" crystal_system=hexagonal vol_a3_per_atom=20.438 n_ef_per_ev_atom=1.39 pbc="T T T"
Y 0.000 0.000 0.000
Os 0.000 2.520 1.858
Pt 2.182 1.260 1.858

***

Model ii:
3
Lattice="-1.486 1.486 6.222 1.486 -1.486 6.222 1.486 1.486 -6.222" Properties=species:S:1:pos:R:3 comment="YOsPt (PBE, relaxed)" spacegroup="No. 107" crystal_system=tetragonal vol_a3_per_atom=18.314 n_ef_per_ev_atom=1.58 pbc="T T T"
Y 0.000 0.000 0.000
Os 0.000 0.000 4.060
Pt 0.000 0.000 8.500

***

Model iii:
3
Lattice="3.111 0.000 0.000 -1.555 2.694 0.000 0.000 0.000 6.729" Properties=species:S:1:pos:R:3 comment="YOsPt (PBE, relaxed)" spacegroup="No. 156" crystal_system=trigonal vol_a3_per_atom=18.795 n_ef_per_ev_atom=1.19 pbc="T T T"
Y 0.000 0.000 0.000
Os 1.555 0.898 2.229
Pt 0.000 1.796 4.380

***

Which is most stable, and by how much? model i, by 29.7 kJ/mol of atoms.

***

Model i:
3
Lattice="-1.434 2.030 4.900 1.434 -2.030 4.900 1.434 2.030 -4.900" Properties=species:S:1:pos:R:3 comment="YOsPt (PBE, relaxed)" spacegroup="No. 44" crystal_system=orthorhombic vol_a3_per_atom=19.017 n_ef_per_ev_atom=1.50 pbc="T T T"
Y 0.000 0.000 0.000
Os 0.000 0.000 6.819
Pt 0.000 0.000 2.922

***

Model ii:
3
Lattice="0.000 3.210 3.210 3.210 0.000 3.210 3.210 3.210 0.000" Properties=species:S:1:pos:R:3 comment="YOsPt (PBE, relaxed)" spacegroup="No. 216" crystal_system=cubic vol_a3_per_atom=22.058 n_ef_per_ev_atom=2.16 pbc="T T T"
Y 0.000 0.000 0.000
Os 1.605 1.605 1.605
Pt 4.816 4.816 4.816

***

Model iii:
3
Lattice="0.000 3.211 3.211 3.211 0.000 3.211 3.211 3.211 0.000" Properties=species:S:1:pos:R:3 comment="YOsPt (PBE, relaxed)" spacegroup="No. 216" crystal_system=cubic vol_a3_per_atom=22.077 n_ef_per_ev_atom=1.28 pbc="T T T"
Y 0.000 0.000 0.000
Os 3.211 3.211 3.211
Pt 4.817 4.817 4.817

***

Which is most stable, and by how much? model i, by 22.7 kJ/mol of atoms.

***

Model i:
10
Lattice="6.864 0.000 0.000 0.000 6.864 0.000 0.000 0.000 4.353" Properties=species:S:1:pos:R:3 comment="Y2Os2Pt (PBE, relaxed)" spacegroup="No. 127" crystal_system=tetragonal vol_a3_per_atom=20.507 n_ef_per_ev_atom=0.91 pbc="T T T"
Y 1.237 2.195 0.000
Y 2.195 5.627 0.000
Y 4.669 1.237 0.000
Y 5.627 4.669 0.000
Os 0.837 4.269 2.177
Os 2.594 0.837 2.177
Os 4.269 6.026 2.177
Os 6.026 2.594 2.177
Pt 0.000 0.000 2.177
Pt 3.432 3.432 2.177

***

Model ii:
5
Lattice="-1.777 1.777 8.490 1.777 -1.777 8.490 1.777 1.777 -8.490" Properties=species:S:1:pos:R:3 comment="Y2Os2Pt (PBE, relaxed)" spacegroup="No. 139" crystal_system=tetragonal vol_a3_per_atom=21.455 n_ef_per_ev_atom=1.04 pbc="T T T"
Y 0.000 0.000 1.725
Y 0.000 0.000 15.254
Os 1.777 0.000 4.245
Os 0.000 1.777 4.245
Pt 0.000 0.000 8.490

***

Model iii:
10
Lattice="8.070 0.000 0.000 0.000 8.070 0.000 0.000 0.000 3.106" Properties=species:S:1:pos:R:3 comment="Y2Os2Pt (PBE, relaxed)" spacegroup="No. 127" crystal_system=tetragonal vol_a3_per_atom=20.224 n_ef_per_ev_atom=1.55 pbc="T T T"
Y 1.154 2.881 0.000
Y 2.881 6.915 0.000
Y 5.189 1.154 0.000
Y 6.915 5.189 0.000
Os 1.317 5.352 1.553
Os 2.717 1.317 1.553
Os 5.352 6.752 1.553
Os 6.752 2.717 1.553
Pt 0.000 0.000 0.000
Pt 4.035 4.035 0.000

***

Which is most stable, and by how much? model i, by 9.1 kJ/mol of atoms.

***

Model i:
5
Lattice="4.425 0.000 0.000 0.000 4.425 0.000 0.000 0.000 4.425" Properties=species:S:1:pos:R:3 comment="ZnOs3Pt (PBE, relaxed)" spacegroup="No. 221" crystal_system=cubic vol_a3_per_atom=17.328 n_ef_per_ev_atom=1.18 pbc="T T T"
Zn 0.000 0.000 0.000
Os 0.000 0.000 2.212
Os 0.000 2.212 0.000
Os 2.212 0.000 0.000
Pt 2.212 2.212 2.212

***

Model ii:
5
Lattice="4.776 0.000 0.000 0.000 4.776 0.000 0.000 0.000 4.776" Properties=species:S:1:pos:R:3 comment="ZnOs3Pt (PBE, relaxed)" spacegroup="No. 221" crystal_system=cubic vol_a3_per_atom=21.794 n_ef_per_ev_atom=2.32 pbc="T T T"
Zn 0.000 0.000 0.000
Os 0.000 2.388 2.388
Os 2.388 0.000 2.388
Os 2.388 2.388 0.000
Pt 2.388 2.388 2.388

***

Which is most stable, and by how much? model i, by 42.7 kJ/mol of atoms.

***

Model i:
5
Lattice="4.833 0.000 0.000 0.000 4.833 0.000 0.000 0.000 4.833" Properties=species:S:1:pos:R:3 comment="ZnOsPt3 (PBE, relaxed)" spacegroup="No. 221" crystal_system=cubic vol_a3_per_atom=22.583 n_ef_per_ev_atom=1.09 pbc="T T T"
Zn 0.000 0.000 0.000
Os 2.417 2.417 2.417
Pt 0.000 2.417 2.417
Pt 2.417 0.000 2.417
Pt 2.417 2.417 0.000

***

Model ii:
5
Lattice="4.543 0.000 0.000 0.000 4.543 0.000 0.000 0.000 4.543" Properties=species:S:1:pos:R:3 comment="ZnOsPt3 (PBE, relaxed)" spacegroup="No. 221" crystal_system=cubic vol_a3_per_atom=18.757 n_ef_per_ev_atom=2.02 pbc="T T T"
Zn 0.000 0.000 0.000
Os 2.272 2.272 2.272
Pt 0.000 0.000 2.272
Pt 0.000 2.272 0.000
Pt 2.272 0.000 0.000

***

Which is most stable, and by how much? model i, by 13.6 kJ/mol of atoms.

***

Model i:
10
Lattice="7.684 0.000 0.000 0.000 7.684 0.000 0.000 0.000 3.126" Properties=species:S:1:pos:R:3 comment="Zr2Os2Pt (PBE, relaxed)" spacegroup="No. 127" crystal_system=tetragonal vol_a3_per_atom=18.458 n_ef_per_ev_atom=1.07 pbc="T T T"
Zr 1.180 2.662 0.000
Zr 2.662 6.504 0.000
Zr 5.022 1.180 0.000
Zr 6.504 5.022 0.000
Os 1.115 4.956 1.563
Os 2.727 1.115 1.563
Os 4.956 6.569 1.563
Os 6.569 2.727 1.563
Pt 0.000 0.000 0.000
Pt 3.842 3.842 0.000

***

Model ii:
10
Lattice="6.840 0.000 0.000 0.000 6.840 0.000 0.000 0.000 3.942" Properties=species:S:1:pos:R:3 comment="Zr2Os2Pt (PBE, relaxed)" spacegroup="No. 127" crystal_system=tetragonal vol_a3_per_atom=18.444 n_ef_per_ev_atom=0.78 pbc="T T T"
Zr 1.250 2.170 0.000
Zr 2.170 5.591 0.000
Zr 4.670 1.250 0.000
Zr 5.591 4.670 0.000
Os 0.867 4.287 1.971
Os 2.554 0.867 1.971
Os 4.287 5.974 1.971
Os 5.974 2.554 1.971
Pt 0.000 0.000 1.971
Pt 3.420 3.420 1.971

***

Model iii:
5
Lattice="-1.791 1.791 7.584 1.791 -1.791 7.584 1.791 1.791 -7.584" Properties=species:S:1:pos:R:3 comment="Zr2Os2Pt (PBE, relaxed)" spacegroup="No. 139" crystal_system=tetragonal vol_a3_per_atom=19.458 n_ef_per_ev_atom=1.18 pbc="T T T"
Zr 0.000 0.000 1.566
Zr 0.000 0.000 13.601
Os 1.791 0.000 3.792
Os 0.000 1.791 3.792
Pt 0.000 0.000 7.584

***

Which is most stable, and by how much? model ii, by 26.6 kJ/mol of atoms.